(1)
Compound: YCoAgAs
Source: OQMD
Functional: PBE
Structure: optimized geometry

Lattice parameters (Å, degrees): 6.5723 6.5723 6.5723 90.00 90.00 90.00
Closest atoms and distances in Å follow each position.
Element x y z (fractional)
Y1 0.0000 0.0000 0.0000  4 Ag 2.85, 4 Co 2.85
Y2 0.0000 0.5000 0.5000  4 Ag 2.85, 4 Co 2.85
Y3 0.5000 0.0000 0.5000  4 Ag 2.85, 4 Co 2.85
Y4 0.5000 0.5000 0.0000  4 Ag 2.85, 4 Co 2.85
Co1 0.2500 0.2500 0.7500  4 As 2.85, 4 Y 2.85
Co2 0.2500 0.7500 0.2500  4 As 2.85, 4 Y 2.85
Co3 0.7500 0.2500 0.2500  4 As 2.85, 4 Y 2.85
Co4 0.7500 0.7500 0.7500  4 As 2.85, 4 Y 2.85
Ag1 0.2500 0.2500 0.2500  4 As 2.85, 4 Y 2.85
Ag2 0.2500 0.7500 0.7500  4 As 2.85, 4 Y 2.85
Ag3 0.7500 0.2500 0.7500  4 As 2.85, 4 Y 2.85
Ag4 0.7500 0.7500 0.2500  4 As 2.85, 4 Y 2.85
As1 0.0000 0.0000 0.5000  4 Co 2.85, 4 Ag 2.85
As2 0.0000 0.5000 0.0000  4 Co 2.85, 4 Ag 2.85
As3 0.5000 0.0000 0.0000  4 Co 2.85, 4 Ag 2.85
As4 0.5000 0.5000 0.5000  4 Co 2.85, 4 Ag 2.85

Output
Density   7.7 Mg/m³
E above lowest polymorph   0.30 eV per formula unit
Symmetry   F-43m (216)


(2)
Compound: LaSnTe3Au
Source: OQMD
Functional: PBE
Structure: optimized geometry

Lattice parameters (Å, degrees): 12.6952 4.4880 12.8654 90.00 90.00 90.00
Closest atoms and distances in Å follow each position.
Element x y z (fractional)
La1 0.0351 0.2500 0.1952  7 Te 3.24-3.46, 2 Au 3.54
La2 0.4649 0.7500 0.6952  7 Te 3.24-3.46, 2 Au 3.54
La3 0.5351 0.2500 0.3048  7 Te 3.24-3.46, 2 Au 3.54
La4 0.9649 0.7500 0.8048  7 Te 3.24-3.46, 2 Au 3.54
Sn1 0.2110 0.2500 0.4570  2 Au 3.16, 4 Te 3.31-3.32
Sn2 0.2890 0.7500 0.9570  2 Au 3.16, 4 Te 3.31-3.32
Sn3 0.7110 0.2500 0.0430  2 Au 3.16, 4 Te 3.31-3.32
Sn4 0.7890 0.7500 0.5430  2 Au 3.16, 4 Te 3.31-3.32
Te1 0.0356 0.7500 0.3770  1 Au 2.75
Te2 0.0981 0.2500 0.9399  1 Au 2.95
Te3 0.2029 0.7500 0.6729  2 Au 2.80
Te4 0.2971 0.2500 0.1729  2 Au 2.80
Te5 0.4019 0.7500 0.4399  1 Au 2.95
Te6 0.4644 0.2500 0.8770  1 Au 2.75
Te7 0.5356 0.7500 0.1230  1 Au 2.75
Te8 0.5981 0.2500 0.5601  1 Au 2.95
Te9 0.7029 0.7500 0.8271  2 Au 2.80
Te10 0.7971 0.2500 0.3271  2 Au 2.80
Te11 0.9019 0.7500 0.0601  1 Au 2.95
Te12 0.9644 0.2500 0.6230  1 Au 2.75
Au1 0.2307 0.7500 0.2850  4 Te 2.75-2.95
Au2 0.2693 0.2500 0.7850  4 Te 2.75-2.95
Au3 0.7307 0.7500 0.2150  4 Te 2.75-2.95
Au4 0.7693 0.2500 0.7150  4 Te 2.75-2.95

Output
Density   7.6 Mg/m³
E above lowest polymorph   0.07 eV per formula unit
Symmetry   Pnma (62)


(3)
Compound: KHoRe
Source: OQMD
Functional: PBE
Structure: optimized geometry

Lattice parameters (Å, degrees): 7.0555 7.0555 7.0555 90.00 90.00 90.00
Closest atoms and distances in Å follow each position.
Element x y z (fractional)
K1 0.0000 0.0000 0.0000  4 Ho 3.06
K2 0.0000 0.5000 0.5000  4 Ho 3.06
K3 0.5000 0.0000 0.5000  4 Ho 3.06
K4 0.5000 0.5000 0.0000  4 Ho 3.06
Ho1 0.2500 0.2500 0.7500  4 K 3.06, 4 Re 3.06
Ho2 0.2500 0.7500 0.2500  4 K 3.06, 4 Re 3.06
Ho3 0.7500 0.2500 0.2500  4 K 3.06, 4 Re 3.06
Ho4 0.7500 0.7500 0.7500  4 K 3.06, 4 Re 3.06
Re1 0.0000 0.0000 0.5000  4 Ho 3.06
Re2 0.0000 0.5000 0.0000  4 Ho 3.06
Re3 0.5000 0.0000 0.0000  4 Ho 3.06
Re4 0.5000 0.5000 0.5000  4 Ho 3.06

Output
Density   7.4 Mg/m³
E above lowest polymorph   0.00 eV per formula unit
Symmetry   F-43m (216)


(4)
Compound: LiLaMgAu2
Source: OQMD
Functional: PBE
Structure: optimized geometry

Lattice parameters (Å, degrees): 4.1031 4.1031 13.1167 90.00 90.00 90.00
Closest atoms and distances in Å follow each position.
Element x y z (fractional)
Li1 0.0000 0.0000 0.0000  4 Au 2.74, 4 Mg 2.90
Li2 0.5000 0.5000 0.5000  4 Au 2.74, 4 Mg 2.90
La1 0.0000 0.5000 0.7500  8 Au 3.25
La2 0.5000 0.0000 0.2500  8 Au 3.25
Mg1 0.0000 0.0000 0.5000  4 Au 2.74, 4 Li 2.90
Mg2 0.5000 0.5000 0.0000  4 Au 2.74, 4 Li 2.90
Au1 0.0000 0.5000 0.1389  2 Li 2.74, 2 Mg 2.74, 1 Au 2.91
Au2 0.0000 0.5000 0.3611  2 Li 2.74, 2 Mg 2.74, 1 Au 2.91
Au3 0.5000 0.0000 0.6389  2 Li 2.74, 2 Mg 2.74, 1 Au 2.91
Au4 0.5000 0.0000 0.8611  2 Li 2.74, 2 Mg 2.74, 1 Au 2.91

Output
Density   8.5 Mg/m³
Symmetry   I-4m2 (119)
E_tot   -3.65 eV/atom


(5)
Compound: ZrNb
Source: OQMD
Functional: PBE
Structure: optimized geometry

Lattice parameters (Å, degrees): 5.6064 4.9620 7.4741 90.00 100.39 90.00
Closest atoms and distances in Å follow each position.
Element x y z (fractional)
Zr1 0.0000 0.0000 0.0000  5 Nb 2.92-3.02, 3 Zr 3.08-3.18
Zr2 0.1266 0.5000 0.6991  4 Nb 2.95-3.05, 5 Zr 3.01-3.19
Zr3 0.5242 0.5000 0.4778  4 Nb 2.89-2.96, 4 Zr 3.01-3.15
Zr4 0.6777 0.5000 0.9046  4 Nb 2.84-2.98, 3 Zr 3.08-3.15
Zr5 0.8318 0.0000 0.5696  3 Nb 2.84-3.10, 4 Zr 3.03-3.04
Nb1 0.2376 0.0000 0.3912  2 Nb 2.69-2.92, 4 Zr 2.84-2.99
Nb2 0.2871 0.5000 0.0986  1 Nb 2.66, 3 Zr 2.84-2.96
Nb3 0.4072 0.0000 0.7849  2 Nb 2.92-2.96, 6 Zr 2.95-3.10
Nb4 0.5821 0.0000 0.1824  4 Nb 2.69-2.98, 2 Zr 2.92-2.98
Nb5 0.9316 0.5000 0.2905  1 Nb 2.66, 1 Zr 2.89

Output
Density   7.5 Mg/m³
Symmetry   Pm (6)
E_tot   -9.24 eV/atom


(6)
Compound: Y2SiW2C2
Source: OQMD
Functional: PBE
Structure: optimized geometry

Lattice parameters (Å, degrees): 13.7486 3.3066 5.8266 90.00 113.10 90.00
Closest atoms and distances in Å follow each position.
Element x y z (fractional)
Y1 0.1307 0.0000 0.3078  3 C 2.46-2.49
Y2 0.3693 0.5000 0.6922  3 C 2.46-2.49
Y3 0.6307 0.5000 0.3078  3 C 2.46-2.49
Y4 0.8693 0.0000 0.6922  3 C 2.46-2.49
Si1 0.0000 0.5000 0.5000  2 W 2.42
Si2 0.5000 0.0000 0.5000  2 W 2.42
W1 0.1729 0.5000 0.8390  3 C 2.11-2.16
W2 0.3271 0.0000 0.1610  3 C 2.11-2.16
W3 0.6729 0.0000 0.8390  3 C 2.11-2.16
W4 0.8271 0.5000 0.1610  3 C 2.11-2.16
C1 0.2501 0.0000 0.7590  3 W 2.11-2.16
C2 0.2499 0.5000 0.2410  3 W 2.11-2.16
C3 0.7499 0.0000 0.2410  3 W 2.11-2.16
C4 0.7501 0.5000 0.7590  3 W 2.11-2.16

Output
Density   8.1 Mg/m³
Symmetry   C2/m (12)
E_tot   -9.20 eV/atom


(7)
Compound: MgScCoB
Source: OQMD
Functional: PBE
Structure: optimized geometry

Lattice parameters (Å, degrees): 5.9826 5.9826 5.9826 90.00 90.00 90.00
Closest atoms and distances in Å follow each position.
Element x y z (fractional)
Mg1 0.0000 0.0000 0.0000  4 B 2.59, 4 Co 2.59
Mg2 0.0000 0.5000 0.5000  4 B 2.59, 4 Co 2.59
Mg3 0.5000 0.0000 0.5000  4 B 2.59, 4 Co 2.59
Mg4 0.5000 0.5000 0.0000  4 B 2.59, 4 Co 2.59
Sc1 0.0000 0.0000 0.5000  4 Co 2.59, 4 B 2.59
Sc2 0.0000 0.5000 0.0000  4 Co 2.59, 4 B 2.59
Sc3 0.5000 0.0000 0.0000  4 Co 2.59, 4 B 2.59
Sc4 0.5000 0.5000 0.5000  4 Co 2.59, 4 B 2.59
Co1 0.2500 0.2500 0.7500  4 Mg 2.59, 4 Sc 2.59
Co2 0.2500 0.7500 0.2500  4 Mg 2.59, 4 Sc 2.59
Co3 0.7500 0.2500 0.2500  4 Mg 2.59, 4 Sc 2.59
Co4 0.7500 0.7500 0.7500  4 Mg 2.59, 4 Sc 2.59
B1 0.2500 0.2500 0.2500  4 Mg 2.59, 4 Sc 2.59
B2 0.2500 0.7500 0.7500  4 Sc 2.59, 4 Mg 2.59
B3 0.7500 0.2500 0.7500  4 Sc 2.59, 4 Mg 2.59
B4 0.7500 0.7500 0.2500  4 Sc 2.59, 4 Mg 2.59

Output
Density   4.3 Mg/m³
E above lowest polymorph   0.00 eV per formula unit
Symmetry   F-43m (216)


(8)
Compound: PmNdHg
Source: OQMD
Functional: PBE
Structure: optimized geometry

Lattice parameters (Å, degrees): 7.2350 5.2373 9.5624 90.00 90.00 90.00
Closest atoms and distances in Å follow each position.
Element x y z (fractional)
Pm1 0.1700 0.2500 0.0763  4 Hg 3.12-3.19
Pm2 0.3300 0.7500 0.5763  4 Hg 3.12-3.19
Pm3 0.6700 0.2500 0.4237  4 Hg 3.12-3.19
Pm4 0.8300 0.7500 0.9237  4 Hg 3.12-3.19
Nd1 0.0140 0.2500 0.6929  3 Hg 3.25-3.31, 1 Pm 3.58
Nd2 0.4860 0.7500 0.1929  3 Hg 3.25-3.31, 1 Pm 3.58
Nd3 0.5140 0.2500 0.8071  3 Hg 3.25-3.31, 1 Pm 3.58
Nd4 0.9860 0.7500 0.3071  3 Hg 3.25-3.31, 1 Pm 3.58
Hg1 0.2377 0.2500 0.3984  4 Pm 3.12-3.19, 3 Nd 3.25-3.31
Hg2 0.2623 0.7500 0.8984  4 Pm 3.12-3.19, 3 Nd 3.25-3.31
Hg3 0.7377 0.2500 0.1016  4 Pm 3.12-3.19, 3 Nd 3.25-3.31
Hg4 0.7623 0.7500 0.6016  4 Pm 3.12-3.19, 3 Nd 3.25-3.31

Output
Density   9.0 Mg/m³
E above lowest polymorph   0.00 eV per formula unit
Symmetry   Pnma (62)


(9)
Compound: GdHfAsO
Source: OQMD
Functional: PBE
Structure: optimized geometry

Lattice parameters (Å, degrees): 4.1639 4.1639 8.7814 90.00 90.00 90.00
Closest atoms and distances in Å follow each position.
Element x y z (fractional)
Gd1 0.2500 0.2500 0.1168  4 O 2.32
Gd2 0.7500 0.7500 0.8832  4 O 2.32
Hf1 0.2500 0.7500 0.5000  4 As 2.70, 4 Hf 2.94
Hf2 0.7500 0.2500 0.5000  4 As 2.70, 4 Hf 2.94
As1 0.2500 0.2500 0.6953  4 Hf 2.70
As2 0.7500 0.7500 0.3047  4 Hf 2.70
O1 0.2500 0.7500 0.0000  4 Gd 2.32
O2 0.7500 0.2500 0.0000  4 Gd 2.32

Output
Density   9.3 Mg/m³
E above lowest polymorph   0.00 eV per formula unit
Symmetry   P4/nmm (129)


(10)
Compound: BaPaPO
Source: OQMD
Functional: PBE
Structure: optimized geometry

Lattice parameters (Å, degrees): 4.9143 4.9143 9.5115 90.00 90.00 90.00
Closest atoms and distances in Å follow each position.
Element x y z (fractional)
Ba1 0.2500 0.2500 0.0939  4 O 2.61
Ba2 0.7500 0.7500 0.9061  4 O 2.61
Pa1 0.2500 0.7500 0.5000  4 P 2.80
Pa2 0.7500 0.2500 0.5000  4 P 2.80
P1 0.2500 0.2500 0.6417  4 Pa 2.80
P2 0.7500 0.7500 0.3583  4 Pa 2.80
O1 0.2500 0.7500 0.0000  4 Ba 2.61
O2 0.7500 0.2500 0.0000  4 Ba 2.61

Output
Density   6.0 Mg/m³
E above lowest polymorph   1.67 eV per formula unit
Symmetry   P4/nmm (129)


Look up the density of the seventh one. 4.3 Mg/m³


What is the density in the second record? 7.6 Mg/m³


The lowest density belongs to which entry? MgScCoB


Look up the density of the third one. 7.4 Mg/m³